# 1
The following is a DFT calculation (PBE-GGA) of a geometry-optimized NaDyZn10 structure.

Lattice parameters (Å, degrees): 4.2817 5.2625 9.2282 90.00 90.00 90.00
Sites, in units of the cell vectors:
Zn (0.5000, 0.7582, 0.7620)
Zn (0.0000, 0.5000, 0.8243)
Zn (0.5000, 0.5000, 0.0000)
Zn (0.5000, 0.0000, 0.5000)
Zn (0.0000, 0.5000, 0.1757)
Zn (0.0000, 0.0000, 0.3381)
Zn (0.5000, 0.2418, 0.2380)
Zn (0.5000, 0.7582, 0.2380)
Zn (0.5000, 0.2418, 0.7620)
Zn (0.0000, 0.0000, 0.6619)
Na (0.0000, 0.5000, 0.5000)
Dy (0.0000, 0.0000, 0.0000)

Calculated values
energy relative to the elements = -0.15 eV per atom

---

# 2
The following is a DFT calculation (PBE-GGA) of a geometry-optimized NaDyZn4 structure.

Lattice parameters (Å, degrees): 5.4343 5.4343 5.4343 60.00 60.00 60.00
Sites, in units of the cell vectors:
Zn (0.6252, 0.6252, 0.1245)
Zn (0.6252, 0.6252, 0.6252)
Zn (0.1245, 0.6252, 0.6252)
Zn (0.6252, 0.1245, 0.6252)
Dy (0.0000, 0.0000, 0.0000)
Na (0.2500, 0.2500, 0.2500)

Calculated values
energy relative to the elements = -0.15 eV per atom

---

Question: Look up the energy relative to the elements of the second one.
Answer: -0.15 eV per atom